i.
Crystalline Tb2SiTe at its relaxed geometry, computed with GGA-PBE.

Cell and atoms, written as POSCAR:
```
Tb2SiTe
1.0
-3.134 0.827 2.730
-0.848 -0.450 -4.128
1.373 -7.386 0.519
Te Si Tb
1 1 2
Direct
0.000 0.500 0.500
0.000 0.000 0.000
0.520 0.260 0.780
0.480 0.740 0.220
```

Properties
For the total magnetization, the calculation gives 0.0 μB/cell.



ii.
Crystalline Tb2SiTe at its relaxed geometry, computed with GGA-PBE.

Cell and atoms, written as POSCAR:
```
Tb2SiTe
1.0
4.222 0.000 0.000
2.111 3.657 0.000
2.111 1.219 7.267
Tb Te Si
2 1 1
Direct
0.262 0.262 0.215
0.071 0.071 0.786
0.499 0.499 0.503
0.668 0.668 0.996
```

Properties
For the total magnetization, the calculation gives 0.0 μB/cell.



Most stable one: i, least stable one: ii.



i.
Crystalline TbThSi at its relaxed geometry, computed with GGA-PBE.

Cell and atoms, written as POSCAR:
```
TbThSi
1.0
4.160 0.000 0.000
0.000 4.730 0.000
0.000 -2.365 4.096
Tb Si Th
1 1 1
Direct
0.237 0.667 0.333
0.048 0.000 0.000
0.716 0.333 0.667
```

Properties
For the total magnetization, the calculation gives 0.0 μB/cell.



ii.
Crystalline TbThSi at its relaxed geometry, computed with GGA-PBE.

Cell and atoms, written as POSCAR:
```
TbThSi
1.0
-7.223 -1.773 -0.288
3.739 -5.794 -2.800
2.153 1.123 7.597
Th Si Tb
4 4 4
Direct
0.625 0.375 0.250
0.125 0.375 0.750
0.625 0.375 0.750
0.625 0.875 0.250
0.808 0.192 0.000
0.442 0.558 0.500
0.192 0.808 0.000
0.058 0.942 0.500
0.132 0.132 0.264
0.118 0.618 0.236
0.868 0.868 0.736
0.382 0.882 0.764
```

Properties
For the total magnetization, the calculation gives 0.0 μB/cell.



iii.
Crystalline TbThSi at its relaxed geometry, computed with GGA-PBE.

Cell and atoms, written as POSCAR:
```
TbThSi
1.0
4.915 0.000 0.000
2.458 4.257 0.000
2.458 1.419 4.013
Th Tb Si
1 1 1
Direct
0.500 0.500 0.500
0.000 0.000 0.000
0.250 0.250 0.250
```

Properties
For the total magnetization, the calculation gives 0.0 μB/cell.



Most stable one: iii, least stable one: i.



i.
Crystalline TbThSi2 at its relaxed geometry, computed with GGA-PBE.

Cell and atoms, written as POSCAR:
```
TbThSi2
1.0
-1.028 -4.056 1.214
3.810 -0.720 0.819
-0.248 3.739 4.441
Th Si Tb
1 2 1
Direct
0.724 0.000 0.985
0.007 0.000 0.554
0.157 0.500 0.853
0.443 0.500 0.426
```

Properties
For the total magnetization, the calculation gives 0.0 μB/cell.



ii.
Crystalline TbThSi2 at its relaxed geometry, computed with GGA-PBE.

Cell and atoms, written as POSCAR:
```
TbThSi2
1.0
-2.410 3.728 -1.193
-4.184 0.696 1.771
0.009 4.223 4.325
Si Tb Th
2 1 1
Direct
0.243 0.243 0.270
0.757 0.757 0.730
0.500 0.500 0.500
0.000 0.000 0.000
```

Properties
For the total magnetization, the calculation gives 0.0 μB/cell.



Most stable one: i, least stable one: ii.



i.
Crystalline Tb3ZnSi2 at its relaxed geometry, computed with GGA-PBE.

Cell and atoms, written as POSCAR:
```
Tb3ZnSi2
1.0
7.199 0.315 0.245
2.625 6.711 0.245
2.625 1.877 6.448
Si Tb Zn
4 6 2
Direct
0.143 0.143 0.143
0.643 0.643 0.643
0.357 0.357 0.357
0.857 0.857 0.857
0.455 0.045 0.750
0.250 0.545 0.955
0.955 0.250 0.545
0.045 0.750 0.455
0.750 0.455 0.045
0.545 0.955 0.250
0.000 0.000 0.000
0.500 0.500 0.500
```

Properties
For the total magnetization, the calculation gives 0.0 μB/cell.



ii.
Crystalline Tb3ZnSi2 at its relaxed geometry, computed with GGA-PBE.

Cell and atoms, written as POSCAR:
```
Tb3ZnSi2
1.0
-0.270 2.260 -3.520
-11.439 -1.478 -0.071
-1.266 9.504 6.200
Zn Tb Si
4 12 8
Direct
0.250 0.364 0.636
0.750 0.636 0.364
0.750 0.864 0.864
0.250 0.136 0.136
0.250 0.122 0.557
0.750 0.935 0.127
0.750 0.565 0.627
0.250 0.696 0.201
0.250 0.065 0.873
0.750 0.196 0.299
0.750 0.622 0.943
0.250 0.435 0.373
0.250 0.804 0.701
0.750 0.878 0.443
0.250 0.378 0.057
0.750 0.304 0.799
0.250 0.003 0.313
0.750 0.997 0.687
0.250 0.819 0.976
0.750 0.503 0.187
0.750 0.319 0.524
0.250 0.681 0.476
0.250 0.497 0.813
0.750 0.181 0.024
```

Properties
For the total magnetization, the calculation gives 0.0 μB/cell.



Most stable one: ii, least stable one: i.



i.
Crystalline Tb2ZnSi3 at its relaxed geometry, computed with GGA-PBE.

Cell and atoms, written as POSCAR:
```
Tb2ZnSi3
1.0
-0.332 1.786 -3.618
-1.466 -3.492 -1.589
-5.585 2.854 4.187
Si Zn Tb
3 1 2
Direct
0.541 0.541 0.083
0.293 0.793 0.585
0.707 0.707 0.415
0.460 0.960 0.921
0.129 0.129 0.258
0.869 0.369 0.739
```

Properties
For the total magnetization, the calculation gives 0.0 μB/cell.



ii.
Crystalline Tb2ZnSi3 at its relaxed geometry, computed with GGA-PBE.

Cell and atoms, written as POSCAR:
```
Tb2ZnSi3
1.0
4.012 0.000 0.000
0.000 4.101 0.000
0.000 0.000 7.008
Zn Tb Si
1 2 3
Direct
0.500 0.500 0.331
0.000 0.000 0.508
0.000 0.500 0.993
0.500 0.500 0.667
0.500 0.000 0.834
0.500 0.000 0.167
```

Properties
For the total magnetization, the calculation gives 0.0 μB/cell.



Most stable one: i, least stable one: ii.



i.
Crystalline TbZrSi2 at its relaxed geometry, computed with GGA-PBE.

Cell and atoms, written as POSCAR:
```
TbZrSi2
1.0
4.021 0.000 -0.028
0.000 3.814 0.000
-1.978 0.000 5.160
Zr Tb Si
1 1 2
Direct
0.721 0.000 0.981
0.439 0.500 0.417
0.008 0.000 0.554
0.163 0.500 0.866
```

Properties
For the total magnetization, the calculation gives 0.0 μB/cell.



ii.
Crystalline TbZrSi2 at its relaxed geometry, computed with GGA-PBE.

Cell and atoms, written as POSCAR:
```
TbZrSi2
1.0
3.890 0.000 0.000
1.945 3.369 0.000
1.945 1.123 6.703
Si Tb Zr
2 1 1
Direct
0.743 0.743 0.771
0.257 0.257 0.229
0.500 0.500 0.500
0.000 0.000 0.000
```

Properties
For the total magnetization, the calculation gives 0.0 μB/cell.



Most stable one: i, least stable one: ii.



i.
Crystalline SiTc at its relaxed geometry, computed with GGA-PBE.

Cell and atoms, written as POSCAR:
```
SiTc
1.0
3.427 0.000 0.000
0.000 3.427 0.000
0.000 0.000 4.995
Si Tc
2 2
Direct
0.250 0.750 0.000
0.750 0.250 0.000
0.250 0.250 0.351
0.750 0.750 0.649
```

Properties
For the total magnetization, the calculation gives 0.0 μB/cell.



ii.
Crystalline SiTc at its relaxed geometry, computed with GGA-PBE.

Cell and atoms, written as POSCAR:
```
SiTc
1.0
5.108 0.000 0.000
0.000 4.608 0.000
0.000 0.000 9.339
Si Tc
8 8
Direct
0.698 0.124 0.430
0.198 0.376 0.570
0.802 0.876 0.930
0.338 0.079 0.800
0.838 0.421 0.200
0.162 0.921 0.300
0.302 0.624 0.070
0.662 0.579 0.700
0.155 0.132 0.055
0.355 0.415 0.325
0.845 0.632 0.445
0.345 0.868 0.555
0.855 0.085 0.675
0.655 0.368 0.945
0.645 0.915 0.175
0.145 0.585 0.825
```

Properties
For the total magnetization, the calculation gives 0.0 μB/cell.



Most stable one: ii, least stable one: i.



i.
Crystalline SiTc at its relaxed geometry, computed with GGA-PBE.

Cell and atoms, written as POSCAR:
```
SiTc
1.0
-2.540 -0.865 -3.354
1.661 -1.723 -3.567
-0.884 -4.075 -1.033
Tc Si
2 2
Direct
0.875 0.875 0.875
0.125 0.125 0.125
0.375 0.375 0.375
0.625 0.625 0.625
```

Properties
For the total magnetization, the calculation gives 0.0 μB/cell.



ii.
Crystalline SiTc at its relaxed geometry, computed with GGA-PBE.

Cell and atoms, written as POSCAR:
```
SiTc
1.0
4.628 0.002 0.000
-3.596 2.914 0.000
0.000 0.000 4.019
Si Tc
2 2
Direct
0.911 0.089 0.750
0.089 0.911 0.250
0.634 0.366 0.750
0.366 0.634 0.250
```

Properties
For the total magnetization, the calculation gives 0.0 μB/cell.



iii.
Crystalline SiTc at its relaxed geometry, computed with GGA-PBE.

Cell and atoms, written as POSCAR:
```
SiTc
1.0
4.092 0.000 0.000
0.000 5.239 0.000
0.000 0.000 5.302
Tc Si
4 4
Direct
0.750 0.341 0.031
0.250 0.841 0.469
0.750 0.159 0.531
0.250 0.659 0.969
0.250 0.123 0.856
0.750 0.623 0.644
0.750 0.877 0.144
0.250 0.377 0.356
```

Properties
For the total magnetization, the calculation gives 0.0 μB/cell.



iv.
Crystalline SiTc at its relaxed geometry, computed with GGA-PBE.

Cell and atoms, written as POSCAR:
```
SiTc
1.0
3.759 0.000 0.000
-1.879 3.255 0.000
0.000 0.000 4.843
Tc Si
2 2
Direct
0.333 0.667 0.250
0.667 0.333 0.750
0.000 0.000 0.000
0.000 0.000 0.500
```

Properties
For the total magnetization, the calculation gives 1.1 μB/cell.



Most stable one: ii, least stable one: i.



i.
Crystalline SiTc at its relaxed geometry, computed with GGA-PBE.

Cell and atoms, written as POSCAR:
```
SiTc
1.0
6.601 0.000 0.000
0.000 6.601 0.000
0.000 0.000 6.601
Si Tc
6 6
Direct
0.000 0.500 0.750
0.500 0.250 0.000
0.750 0.000 0.500
0.250 0.000 0.500
0.000 0.500 0.250
0.500 0.750 0.000
0.250 0.500 0.000
0.000 0.750 0.500
0.750 0.500 0.000
0.500 0.000 0.250
0.500 0.000 0.750
0.000 0.250 0.500
```

Properties
For the total magnetization, the calculation gives 2.2 μB/cell.



ii.
Crystalline SiTc at its relaxed geometry, computed with GGA-PBE.

Cell and atoms, written as POSCAR:
```
SiTc
1.0
-3.165 1.885 3.069
-3.052 -2.250 2.934
-0.004 -0.156 4.792
Tc Si
2 2
Direct
0.691 0.691 0.691
0.309 0.309 0.309
0.112 0.112 0.112
0.888 0.888 0.888
```

Properties
For the total magnetization, the calculation gives 0.0 μB/cell.



iii.
Crystalline SiTc at its relaxed geometry, computed with GGA-PBE.

Cell and atoms, written as POSCAR:
```
SiTc
1.0
-0.113 3.240 -3.687
-4.655 1.098 1.107
1.553 3.518 3.043
Si Tc
4 4
Direct
0.296 0.296 0.500
0.704 0.704 0.500
0.796 0.204 0.000
0.204 0.796 0.000
0.788 0.212 0.500
0.712 0.712 0.000
0.212 0.788 0.500
0.288 0.288 0.000
```

Properties
For the total magnetization, the calculation gives 0.0 μB/cell.



Most stable one: ii, least stable one: i.



i.
Crystalline SiTc2 at its relaxed geometry, computed with GGA-PBE.

Cell and atoms, written as POSCAR:
```
SiTc2
1.0
6.674 0.000 0.002
0.000 2.920 0.000
-1.709 0.000 8.911
Tc Si
8 4
Direct
0.436 0.000 0.779
0.765 0.500 0.750
0.150 0.500 0.949
0.822 0.500 0.488
0.765 0.000 0.250
0.150 0.000 0.449
0.822 0.000 0.988
0.436 0.500 0.279
0.060 0.000 0.709
0.060 0.500 0.209
0.448 0.500 0.554
0.448 0.000 0.054
```

Properties
For the total magnetization, the calculation gives 0.0 μB/cell.



ii.
Crystalline SiTc2 at its relaxed geometry, computed with GGA-PBE.

Cell and atoms, written as POSCAR:
```
SiTc2
1.0
2.787 0.000 0.000
-1.393 2.413 0.000
0.000 0.000 6.250
Tc Si
2 1
Direct
0.333 0.667 0.670
0.667 0.333 0.330
0.000 0.000 0.000
```

Properties
For the total magnetization, the calculation gives 0.0 μB/cell.



iii.
Crystalline SiTc2 at its relaxed geometry, computed with GGA-PBE.

Cell and atoms, written as POSCAR:
```
SiTc2
1.0
-4.247 0.896 1.282
-3.267 -2.433 -1.972
3.782 -0.308 2.466
Tc Si
2 1
Direct
0.664 0.664 0.000
0.336 0.336 0.000
0.000 0.000 0.000
```

Properties
For the total magnetization, the calculation gives 0.0 μB/cell.



Most stable one: i, least stable one: ii.